Entry 1:
## LiCr2Os (PBE)

Data for an optimized crystal structure of LiCr2Os.

Summary:
**Magnetic moment**: 0.0 μB per formula unit
**Energy of formation from the pure elements**: 26.0 kJ per mole of atoms

Structure (CIF):
```
data_LiCr2Os
_symmetry_space_group_name_H-M 'P 1 m 1'
_symmetry_Int_Tables_number 6
_cell_length_a 2.515
_cell_length_b 4.064
_cell_length_c 4.902
_cell_angle_alpha 90.00
_cell_angle_beta 98.42
_cell_angle_gamma 90.00
loop_
_symmetry_equiv_pos_as_xyz
'x,y,z'
'x,-y,z'
loop_
_atom_site_label
_atom_site_type_symbol
_atom_site_fract_x
_atom_site_fract_y
_atom_site_fract_z
Li1 Li 0.000 0.000 0.000
Cr1 Cr 0.244 0.500 0.758
Cr2 Cr 0.470 0.000 0.506
Os1 Os 0.703 0.500 0.248
```

***

Entry 2:
## ScTl2Zn3F12 (PBE)

Data for an optimized crystal structure of ScTl2Zn3F12.

Summary:
**Magnetic moment**: 0.0 μB per formula unit
**Formation energy without anion corrections**: -2.46 eV/atom

Structure (CIF):
```
data_ScTl2Zn3F12
_symmetry_space_group_name_H-M 'R -3 m'
_symmetry_Int_Tables_number 166
_symmetry_space_group_name_Hall '-R 3 2"'
_cell_length_a 7.3571
_cell_length_b 7.3571
_cell_length_c 18.8599
_cell_angle_alpha 90.00
_cell_angle_beta 90.00
_cell_angle_gamma 120.00
loop_
_atom_site_label
_atom_site_type_symbol
_atom_site_fract_x
_atom_site_fract_y
_atom_site_fract_z
Sc1 Sc 0.0000 0.0000 0.0000
Tl1 Tl 0.0000 0.0000 0.3863
Zn1 Zn 0.0000 0.5000 0.5000
F1 F 0.0665 0.5332 0.6075
F2 F 0.0682 0.5341 0.8528
```

***

Entry 3:
## AgHN2 (PBE)

Data for an optimized crystal structure of AgHN2.

Summary:
**Magnetic moment**: 0.0 μB per formula unit
**Distance to the lowest polymorph of the same formula**: 458.3 meV per atom

Structure (CIF):
```
data_AgHN2
_symmetry_space_group_name_H-M 'I 41/a m d'
_symmetry_Int_Tables_number 141
_cell_length_a 3.705
_cell_length_b 3.705
_cell_length_c 10.443
_cell_angle_alpha 90.00
_cell_angle_beta 90.00
_cell_angle_gamma 90.00
loop_
_symmetry_equiv_pos_as_xyz
'x,y,z'
'-x,-y,-z'
'-y+1/4,x+3/4,z+1/4'
'y+1/4,-x+3/4,-z+1/4'
'-x+1/2,-y,z+1/2'
'x+1/2,y,-z+1/2'
'y+1/4,-x+1/4,z+3/4'
'-y+1/4,x+1/4,-z+3/4'
'x,-y,-z'
'-x,y,z'
'-y+1/4,-x+1/4,-z+3/4'
'y+1/4,x+1/4,z+3/4'
'-x+1/2,y,-z+1/2'
'x+1/2,-y,z+1/2'
'y+1/4,x+3/4,-z+1/4'
'-y+1/4,-x+3/4,z+1/4'
'x+1/2,y+1/2,z+1/2'
'-x+1/2,-y+1/2,-z+1/2'
'-y+3/4,x+1/4,z+3/4'
'y+3/4,-x+1/4,-z+3/4'
'-x,-y+1/2,z'
'x,y+1/2,-z'
'y+3/4,-x+3/4,z+1/4'
'-y+3/4,x+3/4,-z+1/4'
'x+1/2,-y+1/2,-z+1/2'
'-x+1/2,y+1/2,z+1/2'
'-y+3/4,-x+3/4,-z+1/4'
'y+3/4,x+3/4,z+1/4'
'-x,y+1/2,-z'
'x,-y+1/2,z'
'y+3/4,x+1/4,-z+3/4'
'-y+3/4,-x+1/4,z+3/4'
loop_
_atom_site_label
_atom_site_type_symbol
_atom_site_fract_x
_atom_site_fract_y
_atom_site_fract_z
Ag1 Ag 0.000 0.250 0.375
H1 H 0.000 0.250 0.875
N1 N 0.000 0.000 0.000
```

***

Entry 4:
## CaGdDy (PBE)

Data for an optimized crystal structure of CaGdDy.

Summary:
**Magnetic moment**: 7.5 μB per formula unit
**Distance to the lowest polymorph of the same formula**: 0.0 meV per atom
**Energy of formation from the pure elements**: 6.0 kJ per mole of atoms

Structure (CIF):
```
data_CaGdDy
_symmetry_space_group_name_H-M 'I 4 m m'
_symmetry_Int_Tables_number 107
_symmetry_space_group_name_Hall 'I 4 -2'
_cell_length_a 3.664
_cell_length_b 3.664
_cell_length_c 15.505
_cell_angle_alpha 90.00
_cell_angle_beta 90.00
_cell_angle_gamma 90.00
loop_
_atom_site_label
_atom_site_type_symbol
_atom_site_fract_x
_atom_site_fract_y
_atom_site_fract_z
Ca1 Ca 0.000 0.000 0.000
Gd1 Gd 0.000 0.000 0.321
Dy1 Dy 0.000 0.000 0.674
```

***

Entry 5:
## CeTcB2 (PBE)

Data for an optimized crystal structure of CeTcB2.

Summary:
**Magnetic moment**: 0.0 μB per formula unit
**Distance to the lowest polymorph of the same formula**: 0.0 meV per atom
**Energy of formation from the pure elements**: -49.3 kJ per mole of atoms

Structure (CIF):
```
data_CeTcB2
_symmetry_space_group_name_H-M 'P n m a'
_symmetry_Int_Tables_number 62
_cell_length_a 5.954
_cell_length_b 5.415
_cell_length_c 6.486
_cell_angle_alpha 90.00
_cell_angle_beta 90.00
_cell_angle_gamma 90.00
loop_
_symmetry_equiv_pos_as_xyz
'x,y,z'
'-x,-y,-z'
'-x+1/2,-y,z+1/2'
'x+1/2,y,-z+1/2'
'x+1/2,-y+1/2,-z+1/2'
'-x+1/2,y+1/2,z+1/2'
'-x,y+1/2,-z'
'x,-y+1/2,z'
loop_
_atom_site_label
_atom_site_type_symbol
_atom_site_fract_x
_atom_site_fract_y
_atom_site_fract_z
Ce1 Ce 0.001 0.250 0.154
Tc1 Tc 0.187 0.250 0.686
B1 B 0.124 0.584 0.462
```

***

Entry 6:
## SiAsSe (PBE)

Data for an optimized crystal structure of SiAsSe.

Summary:
**Magnetic moment**: 0.0 μB per formula unit
**Distance to the lowest polymorph of the same formula**: 403.9 meV per atom
**Formation energy without anion corrections**: 0.44 eV/atom

Structure (CIF):
```
data_SiAsSe
_symmetry_space_group_name_H-M 'F -4 3 m'
_symmetry_Int_Tables_number 216
_symmetry_space_group_name_Hall 'F -4 2 3'
_cell_length_a 6.293
_cell_length_b 6.293
_cell_length_c 6.293
_cell_angle_alpha 90.00
_cell_angle_beta 90.00
_cell_angle_gamma 90.00
loop_
_atom_site_label
_atom_site_type_symbol
_atom_site_fract_x
_atom_site_fract_y
_atom_site_fract_z
Si1 Si 0.000 0.000 0.000
As1 As 0.250 0.250 0.250
Se1 Se 0.250 0.250 0.750
```

***

Entry 7:
## LaZrAs2 (PBE)

Data for an optimized crystal structure of LaZrAs2.

Summary:
**Magnetic moment**: 0.0 μB per formula unit
**Distance to the lowest polymorph of the same formula**: 406.4 meV per atom
**Energy of formation from the pure elements**: -90.0 kJ per mole of atoms

Structure (CIF):
```
data_LaZrAs2
_symmetry_space_group_name_H-M 'I m m m'
_symmetry_Int_Tables_number 71
_symmetry_space_group_name_Hall '-I 2 2'
_cell_length_a 4.382
_cell_length_b 5.653
_cell_length_c 7.574
_cell_angle_alpha 90.00
_cell_angle_beta 90.00
_cell_angle_gamma 90.00
loop_
_atom_site_label
_atom_site_type_symbol
_atom_site_fract_x
_atom_site_fract_y
_atom_site_fract_z
La1 La 0.000 0.000 0.000
Zr1 Zr 0.000 0.000 0.500
As1 As 0.000 0.500 0.232
```

***

Entry 8:
## CdFe3 (PBE)

Data for an optimized crystal structure of CdFe3.

Summary:
**Magnetic moment**: 7.5 μB per formula unit
**Energy of formation from the pure elements**: 35.8 kJ per mole of atoms

Structure (CIF):
```
data_CdFe3
_symmetry_space_group_name_H-M 'P m -3 n'
_symmetry_Int_Tables_number 223
_symmetry_space_group_name_Hall '-P 4n 2 3'
_cell_length_a 4.819
_cell_length_b 4.819
_cell_length_c 4.819
_cell_angle_alpha 90.00
_cell_angle_beta 90.00
_cell_angle_gamma 90.00
loop_
_atom_site_label
_atom_site_type_symbol
_atom_site_fract_x
_atom_site_fract_y
_atom_site_fract_z
Cd1 Cd 0.000 0.000 0.000
Fe1 Fe 0.000 0.250 0.500
```

***

Entry 9:
## Tm7Tl4O (PBE)

Data for an optimized crystal structure of Tm7Tl4O.

Summary:
**Magnetic moment**: 0.0 μB per formula unit
**Formation energy without anion corrections**: -0.54 eV/atom

Structure (CIF):
```
data_Tm7Tl4O
_symmetry_space_group_name_H-M 'C 1 2/m 1'
_symmetry_Int_Tables_number 12
_cell_length_a 16.168
_cell_length_b 4.987
_cell_length_c 10.826
_cell_angle_alpha 90.00
_cell_angle_beta 129.28
_cell_angle_gamma 90.00
loop_
_symmetry_equiv_pos_as_xyz
'x,y,z'
'-x,-y,-z'
'-x,y,-z'
'x,-y,z'
'x+1/2,y+1/2,z'
'-x+1/2,-y+1/2,-z'
'-x+1/2,y+1/2,-z'
'x+1/2,-y+1/2,z'
loop_
_atom_site_label
_atom_site_type_symbol
_atom_site_fract_x
_atom_site_fract_y
_atom_site_fract_z
Tm1 Tm 0.000 0.000 0.000
Tm2 Tm 0.064 0.500 0.245
Tm3 Tm 0.132 0.000 0.552
Tm4 Tm 0.210 0.500 0.851
Tl1 Tl 0.081 0.000 0.794
Tl2 Tl 0.223 0.000 0.353
O1 O 0.000 0.500 0.000
```

***

Entry 10:
## NaF5 (PBE)

Data for an optimized crystal structure of NaF5.

Summary:
**Magnetic moment**: 0.1 μB per formula unit
**Distance to the lowest polymorph of the same formula**: 0.0 meV per atom
**Formation energy without anion corrections**: -0.88 eV/atom

Structure (CIF):
```
data_NaF5
_symmetry_space_group_name_H-M 'P 1 21/m 1'
_symmetry_Int_Tables_number 11
_cell_length_a 3.673
_cell_length_b 8.603
_cell_length_c 6.998
_cell_angle_alpha 90.00
_cell_angle_beta 103.51
_cell_angle_gamma 90.00
loop_
_symmetry_equiv_pos_as_xyz
'x,y,z'
'-x,-y,-z'
'-x,y+1/2,-z'
'x,-y+1/2,z'
loop_
_atom_site_label
_atom_site_type_symbol
_atom_site_fract_x
_atom_site_fract_y
_atom_site_fract_z
Na1 Na 0.043 0.250 0.106
F1 F 0.164 0.667 0.294
F2 F 0.377 0.750 0.712
F3 F 0.465 0.571 0.916
```

***

Entry 11:
## Zr2TaSbH (PBE)

Data for an optimized crystal structure of Zr2TaSbH.

Summary:
**Energy**: -7.62 eV per atom
**Magnetic moment**: 0.0 μB per formula unit

Structure (CIF):
```
data_Zr2TaSbH
_symmetry_space_group_name_H-M 'P 4/m m m'
_symmetry_Int_Tables_number 123
_symmetry_space_group_name_Hall '-P 4 2'
_cell_length_a 4.607
_cell_length_b 4.607
_cell_length_c 4.011
_cell_angle_alpha 90.00
_cell_angle_beta 90.00
_cell_angle_gamma 90.00
loop_
_atom_site_label
_atom_site_type_symbol
_atom_site_fract_x
_atom_site_fract_y
_atom_site_fract_z
Zr1 Zr 0.000 0.500 0.000
Ta1 Ta 0.000 0.000 0.500
Sb1 Sb 0.500 0.500 0.500
H1 H 0.000 0.000 0.000
```

***

Entry 12:
## BeZnAgAu (PBE)

Data for an optimized crystal structure of BeZnAgAu.

Summary:
**Magnetic moment**: 0.0 μB per formula unit
**Energy of formation from the pure elements**: -1.6 kJ per mole of atoms

Structure (CIF):
```
data_BeZnAgAu
_symmetry_space_group_name_H-M 'F -4 3 m'
_symmetry_Int_Tables_number 216
_symmetry_space_group_name_Hall 'F -4 2 3'
_cell_length_a 6.164
_cell_length_b 6.164
_cell_length_c 6.164
_cell_angle_alpha 90.00
_cell_angle_beta 90.00
_cell_angle_gamma 90.00
loop_
_atom_site_label
_atom_site_type_symbol
_atom_site_fract_x
_atom_site_fract_y
_atom_site_fract_z
Be1 Be 0.000 0.000 0.000
Zn1 Zn 0.000 0.000 0.500
Ag1 Ag 0.250 0.250 0.250
Au1 Au 0.250 0.250 0.750
```